Entry 1:
Th4FeOs | PBE-GGA | optimized geometry

Cell lengths 6.3739, 6.9278, 7.2005 Å; angles 90.00, 90.71, 90.00 degrees
Closest atoms and distances in Å follow each position.
Space group P2_1/m (No. 11)
Inequivalent atoms, fractional coordinates:
1 Th 0.0791 0.0013 0.2429 [4 per cell]  2 Fe 2.79-2.90, 2 Os 2.94-2.96
2 Th 0.3916 0.2500 0.6175 [2 per cell]  1 Fe 2.63, 1 Os 2.81
3 Th 0.4187 0.7500 0.8983 [2 per cell]  1 Fe 2.70, 1 Os 2.78
4 Fe 0.1981 0.2500 0.9380 [2 per cell]  6 Th 2.63-2.90
5 Os 0.2141 0.7500 0.5543 [2 per cell]  6 Th 2.78-2.96

## Properties
The calculation puts the energy of formation from the pure elements at -0.1808 eV per atom. The volume comes out at 26.5 Å³/atom. Its total moment is 0.0 μB/f.u. The calculation puts the density of states at the Fermi level at 1.122 states/eV per atom.

=====

Entry 2:
GaAgHgSb2 | PBE-GGA | optimized geometry

Cell lengths 5.6047, 5.6047, 5.1544 Å; angles 90.00, 90.00, 90.00 degrees
Closest atoms and distances in Å follow each position.
Space group P4/mmm (No. 123)
Inequivalent atoms, fractional coordinates:
1 Ga 0.0000 0.0000 0.0000 [1 per cell]  2 Hg 2.58
2 Ag 0.5000 0.5000 0.0000 [1 per cell]  8 Sb 3.81, 4 Ga 3.96
3 Hg 0.0000 0.0000 0.5000 [1 per cell]  2 Ga 2.58, 4 Sb 2.80
4 Sb 0.0000 0.5000 0.5000 [2 per cell]  2 Hg 2.80

## Properties
The volume comes out at 32.4 Å³/atom. As for the uncorrected formation energy: 0.74 eV/atom. Its total moment is 0.0 μB/f.u. The calculation puts the density of states at the Fermi level at 0.730 states/eV per atom.